# 1
An optimized crystal structure of YCrCl, computed with GGA-PBEsol.

- E_form (uncorrected) (eV per atom) = 0.199
- size of the total moment (μB per cell) = 16.0
- electronic total energy (eV/atom) = -6.16
- volume (Å³ per cell) = 258.31

abc: 6.3687 6.3687 6.3687
angles: 90.00 90.00 90.00
Space group F-43m (No. 216)
Unique sites:
Y: 0.0000 0.0000 0.0000
Cr: 0.0000 0.0000 0.5000
Cl: 0.2500 0.2500 0.7500

---

# 2
An optimized crystal structure of YCrCl4, computed with GGA-PBEsol.

- E_form (uncorrected) (eV per atom) = 0.043
- size of the total moment (μB per cell) = 26.6
- electronic total energy (eV/atom) = -4.14
- volume (Å³ per cell) = 528.21

abc: 8.0836 8.0836 8.0836
angles: 90.00 90.00 90.00
Space group F-43m (No. 216)
Unique sites:
Y: 0.0000 0.0000 0.0000
Cr: 0.2500 0.2500 0.7500
Cl: 0.1249 0.1249 0.3751

---

# 3
An optimized crystal structure of ZnCrCl, computed with GGA-PBEsol.

- E_form (uncorrected) (eV per atom) = 0.706
- size of the total moment (μB per cell) = 19.6
- electronic total energy (eV/atom) = -3.90
- offset from the most stable computed form (meV/atom) = 308.7
- volume (Å³ per cell) = 261.38

abc: 6.3938 6.3938 6.3938
angles: 90.00 90.00 90.00
Space group F-43m (No. 216)
Unique sites:
Zn: 0.0000 0.0000 0.0000
Cr: 0.2500 0.2500 0.2500
Cl: 0.2500 0.2500 0.7500

---

# 4
An optimized crystal structure of ZnCrCl, computed with GGA-PBEsol.

- E_form (uncorrected) (eV per atom) = 0.397
- size of the total moment (μB per cell) = 19.5
- electronic total energy (eV/atom) = -4.21
- offset from the most stable computed form (meV/atom) = 0.0
- volume (Å³ per cell) = 246.47

abc: 6.2699 6.2699 6.2699
angles: 90.00 90.00 90.00
Space group F-43m (No. 216)
Unique sites:
Zn: 0.0000 0.0000 0.0000
Cr: 0.2500 0.2500 0.7500
Cl: 0.0000 0.0000 0.5000

---

# 5
An optimized crystal structure of ZrCr4Cl, computed with GGA-PBEsol.

- E_form (uncorrected) (eV per atom) = 0.591
- size of the total moment (μB per cell) = 0.0
- electronic total energy (eV/atom) = -8.09
- volume (Å³ per cell) = 331.12

abc: 6.9182 6.9182 6.9182
angles: 90.00 90.00 90.00
Space group F-43m (No. 216)
Unique sites:
Zr: 0.0000 0.0000 0.0000
Cr: 0.1243 0.1243 0.6243
Cl: 0.2500 0.2500 0.2500

---

# 6
An optimized crystal structure of CsCl2, computed with GGA-PBEsol.

- E_form (uncorrected) (eV per atom) = -1.364
- size of the total moment (μB per cell) = 0.1
- electronic total energy (eV/atom) = -3.02
- volume (Å³ per cell) = 447.24

abc: 20.6832 4.6977 4.6959
angles: 90.00 101.41 90.00
Space group C2/m (No. 12)
Unique sites:
Cs: 0.1469 0.0000 0.1651
Cl: 0.0538 0.5000 0.5601
Cl: 0.1852 0.5000 0.6995

---

# 7
An optimized crystal structure of Cs3Cu2Cl5, computed with GGA-PBEsol.

- E_form (uncorrected) (eV per atom) = -1.371
- size of the total moment (μB per cell) = 0.2
- electronic total energy (eV/atom) = -3.52
- volume (Å³ per cell) = 1220.81

abc: 9.1415 10.3650 12.8842
angles: 90.00 90.00 90.00
Space group Pnma (No. 62)
Unique sites:
Cs: 0.0379 0.0123 0.1793
Cs: 0.1016 0.7500 0.4526
Cu: 0.2052 0.7500 0.0507
Cu: 0.2378 0.2500 0.3646
Cl: 0.0305 0.2500 0.9896
Cl: 0.1789 0.7500 0.7060
Cl: 0.1888 0.0658 0.4461
Cl: 0.2021 0.2500 0.7086

---

# 8
An optimized crystal structure of CsCu3Cl, computed with GGA-PBEsol.

- E_form (uncorrected) (eV per atom) = 0.829
- size of the total moment (μB per cell) = 0.0
- electronic total energy (eV/atom) = -2.36
- volume (Å³ per cell) = 114.22

abc: 4.8520 4.8520 4.8520
angles: 90.00 90.00 90.00
Space group Pm-3m (No. 221)
Unique sites:
Cs: 0.0000 0.0000 0.0000
Cu: 0.0000 0.5000 0.5000
Cl: 0.5000 0.5000 0.5000

---

# 9
An optimized crystal structure of CsCuCl2, computed with GGA-PBEsol.

- E_form (uncorrected) (eV per atom) = -1.178
- size of the total moment (μB per cell) = 0.0
- electronic total energy (eV/atom) = -3.50
- volume (Å³ per cell) = 425.43

abc: 7.3781 7.3781 7.8153
angles: 90.00 90.00 90.00
Space group I-42d (No. 122)
Unique sites:
Cs: 0.0000 0.0000 0.0000
Cu: 0.0000 0.0000 0.5000
Cl: 0.1323 0.7500 0.6250

---

# 10
An optimized crystal structure of Cs2CuCl4, computed with GGA-PBEsol.

- E_form (uncorrected) (eV per atom) = -1.369
- size of the total moment (μB per cell) = 4.3
- electronic total energy (eV/atom) = -3.40
- volume (Å³ per cell) = 881.90

abc: 9.7054 7.4776 12.1520
angles: 90.00 90.00 90.00
Space group Pnma (No. 62)
Unique sites:
Cs: 0.0121 0.2500 0.1711
Cs: 0.1318 0.2500 0.6041
Cu: 0.2303 0.2500 0.9185
Cl: 0.0058 0.2500 0.8762
Cl: 0.1501 0.7500 0.5754
Cl: 0.2113 0.0189 0.3591

---

# 11
An optimized crystal structure of CsCu2ICl2, computed with GGA-PBEsol.

- E_form (uncorrected) (eV per atom) = -0.868
- size of the total moment (μB per cell) = 0.0
- electronic total energy (eV/atom) = -3.43
- volume (Å³ per cell) = 326.90

abc: 7.4981 5.4381 8.5395
angles: 90.00 110.14 90.00
Space group P2_1/m (No. 11)
Unique sites:
Cs: 0.1698 0.2500 0.3649
Cu: 0.3852 0.5040 0.8512
I: 0.3018 0.7500 0.0825
Cl: 0.1183 0.2500 0.7489
Cl: 0.3646 0.7500 0.6223

---

# 12
An optimized crystal structure of Cs2InCuCl6, computed with GGA-PBEsol.

- E_form (uncorrected) (eV per atom) = -1.356
- size of the total moment (μB per cell) = 0.0
- electronic total energy (eV/atom) = -3.48
- volume (Å³ per cell) = 1028.11

abc: 10.0928 10.0928 10.0928
angles: 90.00 90.00 90.00
Space group Fm-3m (No. 225)
Unique sites:
Cs: 0.2500 0.2500 0.2500
In: 0.0000 0.0000 0.0000
Cu: 0.0000 0.0000 0.5000
Cl: 0.0000 0.0000 0.2543

---

# 13
An optimized crystal structure of Cs2LaCuCl6, computed with GGA-PBEsol.

- E_form (uncorrected) (eV per atom) = -1.815
- size of the total moment (μB per cell) = 0.3
- electronic total energy (eV/atom) = -4.18
- volume (Å³ per cell) = 1149.41

abc: 10.4751 10.4751 10.4751
angles: 90.00 90.00 90.00
Space group Fm-3m (No. 225)
Unique sites:
Cs: 0.2500 0.2500 0.2500
La: 0.0000 0.0000 0.0000
Cu: 0.0000 0.0000 0.5000
Cl: 0.0000 0.0000 0.2620

---

# 14
An optimized crystal structure of Cs2PrCuCl6, computed with GGA-PBEsol.

- E_form (uncorrected) (eV per atom) = -1.777
- size of the total moment (μB per cell) = 0.1
- electronic total energy (eV/atom) = -4.12
- volume (Å³ per cell) = 1137.71

abc: 10.4395 10.4395 10.4395
angles: 90.00 90.00 90.00
Space group Fm-3m (No. 225)
Unique sites:
Cs: 0.2500 0.2500 0.2500
Pr: 0.0000 0.0000 0.0000
Cu: 0.0000 0.0000 0.5000
Cl: 0.0000 0.0000 0.2610

---

# 15
An optimized crystal structure of Cs2TbCuCl6, computed with GGA-PBEsol.

- E_form (uncorrected) (eV per atom) = -1.807
- size of the total moment (μB per cell) = 0.2
- electronic total energy (eV/atom) = -4.13
- volume (Å³ per cell) = 1081.78

abc: 10.2655 10.2655 10.2655
angles: 90.00 90.00 90.00
Space group Fm-3m (No. 225)
Unique sites:
Cs: 0.2500 0.2500 0.2500
Tb: 0.0000 0.0000 0.0000
Cu: 0.0000 0.0000 0.5000
Cl: 0.0000 0.0000 0.2558

---

# 16
An optimized crystal structure of Cs2TlCuCl6, computed with GGA-PBEsol.

- E_form (uncorrected) (eV per atom) = -1.232
- size of the total moment (μB per cell) = 0.0
- electronic total energy (eV/atom) = -3.32
- volume (Å³ per cell) = 1069.44

abc: 10.2263 10.2263 10.2263
angles: 90.00 90.00 90.00
Space group Fm-3m (No. 225)
Unique sites:
Cs: 0.2500 0.2500 0.2500
Tl: 0.0000 0.0000 0.0000
Cu: 0.0000 0.0000 0.5000
Cl: 0.0000 0.0000 0.2640

---

# 17
An optimized crystal structure of Cs2YCuCl6, computed with GGA-PBEsol.

- E_form (uncorrected) (eV per atom) = -1.813
- size of the total moment (μB per cell) = 0.3
- electronic total energy (eV/atom) = -4.32
- volume (Å³ per cell) = 1075.55

abc: 10.2457 10.2457 10.2457
angles: 90.00 90.00 90.00
Space group Fm-3m (No. 225)
Unique sites:
Cs: 0.2500 0.2500 0.2500
Y: 0.0000 0.0000 0.0000
Cu: 0.0000 0.0000 0.5000
Cl: 0.0000 0.0000 0.2553

---

# 18
An optimized crystal structure of CsDy2Cl7, computed with GGA-PBEsol.

- E_form (uncorrected) (eV per atom) = -2.285
- size of the total moment (μB per cell) = 0.0
- electronic total energy (eV/atom) = -4.78
- volume (Å³ per cell) = 1165.28

abc: 13.5525 6.8851 12.4882
angles: 90.00 90.00 90.00
Space group Pnma (No. 62)
Unique sites:
Cs: 0.0376 0.2500 0.2027
Dy: 0.2415 0.2500 0.5480
Dy: 0.2474 0.2500 0.8522
Cl: 0.1112 0.7500 0.1983
Cl: 0.1276 0.0093 0.4332
Cl: 0.1317 0.0095 0.9672
Cl: 0.1800 0.0071 0.7010

---

# 19
An optimized crystal structure of Cs2LiDyCl6, computed with GGA-PBEsol.

- E_form (uncorrected) (eV per atom) = -2.143
- size of the total moment (μB per cell) = 0.0
- electronic total energy (eV/atom) = -4.23
- volume (Å³ per cell) = 1111.72

abc: 10.3593 10.3593 10.3593
angles: 90.00 90.00 90.00
Space group Fm-3m (No. 225)
Unique sites:
Cs: 0.2500 0.2500 0.2500
Li: 0.0000 0.0000 0.0000
Dy: 0.0000 0.0000 0.5000
Cl: 0.0000 0.0000 0.2482

---

# 20
An optimized crystal structure of Cs2NaDyCl6, computed with GGA-PBEsol.

- E_form (uncorrected) (eV per atom) = -2.137
- size of the total moment (μB per cell) = 0.0
- electronic total energy (eV/atom) = -4.17
- volume (Å³ per cell) = 1208.37

abc: 10.6512 10.6512 10.6512
angles: 90.00 90.00 90.00
Space group Fm-3m (No. 225)
Unique sites:
Cs: 0.2500 0.2500 0.2500
Na: 0.0000 0.0000 0.0000
Dy: 0.0000 0.0000 0.5000
Cl: 0.0000 0.0000 0.2557